[1]
Na2Cu2AgCl7: optimized geometry, PBE-GGA.

Unit cell a=6.8393 b=6.8521 c=11.9862 alpha=90.00 beta=106.57 gamma=90.00
With the nearest neighbours (Å) after each atom.
Space group C2/m (No. 12)
Asymmetric unit:
Na: 0.1289 0.0000 0.3553 [4 per cell]  3 Cl 2.75-2.96
Cu: 0.0953 0.5000 0.2040 [4 per cell]  6 Cl 2.33-2.43
Ag: 0.0000 0.0000 0.0000 [2 per cell]  12 Cl 3.20-3.43
Cl: 0.0000 0.5000 0.0000 [2 per cell]  2 Cu 2.34
Cl: 0.1666 0.2562 0.8089 [8 per cell]  2 Cu 2.42-2.43
Cl: 0.2116 0.5000 0.4067 [4 per cell]  1 Cu 2.33

Computed properties:
E: -3.0152 eV/atom
DOS at the Fermi energy: 5.94 states/eV per cell
energy relative to the elements, uncorrected: -798 meV per atom
size of the total moment: 0.0 μB per cell
calculated volume: 269 Å³/f.u.

[2]
Na2CuAgCl4: optimized geometry, PBE-GGA.

Unit cell a=8.5722 b=7.2359 c=6.8654 alpha=90.00 beta=90.00 gamma=90.00
With the nearest neighbours (Å) after each atom.
Space group Pmn2_1 (No. 31)
Asymmetric unit:
Na: 0.2487 0.1889 0.0000 [4 per cell]  4 Cl 2.67-2.73
Cu: 0.0000 0.6777 0.9920 [2 per cell]  4 Cl 2.35
Ag: 0.0000 0.3257 0.4868 [2 per cell]  4 Cl 2.63-2.64
Cl: 0.0000 0.3743 0.8679 [2 per cell]  1 Cu 2.35
Cl: 0.0000 0.6600 0.3338 [2 per cell]  1 Cu 2.35
Cl: 0.2316 0.8262 0.8951 [4 per cell]  1 Cu 2.35, 1 Ag 2.63

Computed properties:
E: -3.2013 eV/atom
energy relative to the elements, uncorrected: -1080 meV per atom
size of the total moment: 0.3 μB per cell
calculated volume: 213 Å³/f.u.